Entry 1:
The following is a DFT calculation (GGA-PBE) of Ba2ScP after structural relaxation.

The total DFT energy (no corrections) comes out at -4.255 eV per atom.

It has space group I-42d (No. 122), with a = 11.9451 Å, b = 11.9451 Å, c = 5.0231 Å, α = 90.00°, β = 90.00° and γ = 90.00°. The asymmetric unit holds Ba at (0.0922, 0.2500, 0.1250), Sc at (0.0000, 0.0000, 0.5000) and P at (0.0000, 0.0000, 0.0000).

Entry 2:
The following is a DFT calculation (GGA-PBE) of BaScP after structural relaxation.

The total DFT energy (no corrections) comes out at -5.496 eV per atom. Its offset from the most stable computed form is 0.00 eV per formula unit.

It has space group P4/nmm (No. 129, origin choice 2), with a = 4.2914 Å, b = 4.2914 Å, c = 10.4208 Å, α = 90.00°, β = 90.00° and γ = 90.00°. The asymmetric unit holds Ba at (0.2500, 0.2500, 0.1940), Sc at (0.2500, 0.7500, 0.5000) and P at (0.2500, 0.2500, 0.6548).

Entry 3:
The following is a DFT calculation (GGA-PBE) of Ba2ScP after structural relaxation.

The total DFT energy (no corrections) comes out at -4.334 eV per atom.

It has space group Cm (No. 8), with a = 13.6161 Å, b = 3.9217 Å, c = 5.8818 Å, α = 90.00°, β = 115.52° and γ = 90.00°. The asymmetric unit holds Ba at (0.0000, 0.0000, 0.0000), Ba at (0.1765, 0.0000, 0.6758), Sc at (0.3193, 0.5000, 0.3188) and P at (0.4561, 0.0000, 0.4570).

Entry 4:
The following is a DFT calculation (GGA-PBE) of BaScP3 after structural relaxation.

The total DFT energy (no corrections) comes out at -5.411 eV per atom. Its offset from the most stable computed form is 0.00 eV per formula unit.

It has space group Pm-3m (No. 221), with a = 5.0314 Å, b = 5.0314 Å, c = 5.0314 Å, α = 90.00°, β = 90.00° and γ = 90.00°. The asymmetric unit holds Ba at (0.0000, 0.0000, 0.0000), Sc at (0.5000, 0.5000, 0.5000) and P at (0.0000, 0.5000, 0.5000).

Entry 5:
The following is a DFT calculation (GGA-PBE) of BaSc4P after structural relaxation.

The total DFT energy (no corrections) comes out at -5.006 eV per atom.

It has space group F-43m (No. 216), with a = 8.7244 Å, b = 8.7244 Å, c = 8.7244 Å, α = 90.00°, β = 90.00° and γ = 90.00°. The asymmetric unit holds Ba at (0.0000, 0.0000, 0.0000), Sc at (0.1250, 0.1250, 0.3750) and P at (0.2500, 0.2500, 0.7500).

Entry 6:
The following is a DFT calculation (GGA-PBE) of Ba2ScP after structural relaxation.

The total DFT energy (no corrections) comes out at -3.703 eV per atom.

It has space group F-43m (No. 216), with a = 7.8551 Å, b = 7.8551 Å, c = 7.8551 Å, α = 90.00°, β = 90.00° and γ = 90.00°. The asymmetric unit holds Ba at (0.0000, 0.0000, 0.0000), Ba at (0.2500, 0.2500, 0.2500), Sc at (0.2500, 0.2500, 0.7500) and P at (0.0000, 0.0000, 0.5000).

Entry 7:
The following is a DFT calculation (GGA-PBE) of BaScP2Se8 after structural relaxation.

The total DFT energy (no corrections) comes out at -4.581 eV per atom.

It has space group P-3 (No. 147), with a = 6.2972 Å, b = 6.2972 Å, c = 9.3561 Å, α = 90.00°, β = 90.00° and γ = 120.00°. The asymmetric unit holds Ba at (0.0000, 0.0000, 0.0000), Sc at (0.0000, 0.0000, 0.5000), P at (0.3333, 0.6667, 0.7438), Se at (0.0195, 0.6717, 0.3186) and Se at (0.3333, 0.6667, 0.9802).

Entry 8:
The following is a DFT calculation (GGA-PBE) of BaSc2SnP after structural relaxation.

The total DFT energy (no corrections) comes out at -4.534 eV per atom.

It has space group P4/mmm (No. 123), with a = 5.3357 Å, b = 5.3357 Å, c = 6.4476 Å, α = 90.00°, β = 90.00° and γ = 90.00°. The asymmetric unit holds Ba at (0.0000, 0.0000, 0.0000), Sc at (0.0000, 0.5000, 0.5000), Sn at (0.0000, 0.0000, 0.5000) and P at (0.5000, 0.5000, 0.0000).

Number 1: total moment 0.0000 μB per atom, V 179.2 Å³/f.u.. Number 2: total moment 0.0000 μB per atom, V 96.0 Å³/f.u.. Number 3: total moment 0.1013 μB per atom, V 141.7 Å³/f.u.. Number 4: total moment 0.0000 μB per atom, V 127.4 Å³/f.u.. Number 5: total moment 0.2099 μB per atom, V 166.0 Å³/f.u.. Number 6: total moment 0.6242 μB per atom, V 121.2 Å³/f.u.. Number 7: total moment 0.0001 μB per atom, V 321.3 Å³/f.u.. Number 8: total moment 0.0000 μB per atom, V 183.6 Å³/f.u..